# 1
A plane-wave DFT calculation with PBE-GGA was carried out for a relaxed structure of GaFeReNi.

Output
- distance to the lowest polymorph of the same formula (eV/atom) = 0.000
- space group = F-43m (216)

```
GaFeReNi
1.0
0.0000 2.9324 2.9324
2.9324 0.0000 2.9324
2.9324 2.9324 0.0000
Fe Ga Re Ni
1 1 1 1
Direct
0.7500 0.7500 0.7500
0.0000 0.0000 0.0000
0.5000 0.5000 0.5000
0.2500 0.2500 0.2500
```

# 2
A plane-wave DFT calculation with PBE-GGA was carried out for a relaxed structure of ScGaFeNi.

Output
- distance to the lowest polymorph of the same formula (eV/atom) = 0.149
- space group = F-43m (216)

```
ScGaFeNi
1.0
0.0000 3.0737 3.0737
3.0737 0.0000 3.0737
3.0737 3.0737 0.0000
Ni Ga Fe Sc
1 1 1 1
Direct
0.5000 0.5000 0.5000
0.0000 0.0000 0.0000
0.7500 0.7500 0.7500
0.2500 0.2500 0.2500
```

# 3
A plane-wave DFT calculation with PBE-GGA was carried out for a relaxed structure of Sc2Ga4FeNi.

Output
- uncorrected energy (eV per atom) = -5.346
- space group = Amm2 (38)

```
Sc2Ga4FeNi
1.0
6.4957 0.0000 0.0000
0.0000 2.0230 4.8134
0.0000 -2.0230 4.8134
Fe Sc Ga Ni
1 2 4 1
Direct
0.5000 0.7922 0.7922
0.0000 0.9244 0.9244
0.5000 0.0735 0.0735
0.2978 0.3635 0.3635
0.1981 0.6383 0.6383
0.7022 0.3635 0.3635
0.8019 0.6383 0.6383
0.0000 0.2063 0.2063
```

# 4
A plane-wave DFT calculation with PBE-GGA was carried out for a relaxed structure of ScGaFeNi.

Output
- distance to the lowest polymorph of the same formula (eV/atom) = 0.000
- space group = F-43m (216)

```
ScGaFeNi
1.0
0.0000 2.9978 2.9978
2.9978 0.0000 2.9978
2.9978 2.9978 0.0000
Ni Sc Ga Fe
1 1 1 1
Direct
0.2500 0.2500 0.2500
0.5000 0.5000 0.5000
0.0000 0.0000 0.0000
0.7500 0.7500 0.7500
```

# 5
A plane-wave DFT calculation with PBE-GGA was carried out for a relaxed structure of ScGaFeNi.

Output
- distance to the lowest polymorph of the same formula (eV/atom) = 0.201
- space group = F-43m (216)

```
ScGaFeNi
1.0
-0.8646 -3.7054 -2.0917
-3.7345 -0.4481 -2.1691
0.0087 -0.0955 -4.3409
Ga Ni Fe Sc
1 1 1 1
Direct
0.2500 0.2500 0.2500
0.5000 0.5000 0.5000
0.7500 0.7500 0.7500
0.0000 0.0000 0.0000
```

# 6
A plane-wave DFT calculation with PBE-GGA was carried out for a relaxed structure of SmGaFeNi.

Output
- distance to the lowest polymorph of the same formula (eV/atom) = 0.070
- space group = Pmma (51)

```
SmGaFeNi
1.0
-0.7462 -2.6392 -4.2242
1.8088 -3.1931 1.6755
-5.9528 -2.1239 2.3786
Fe Ga Sm Ni
2 2 2 2
Direct
0.7500 0.0000 0.3977
0.2500 0.0000 0.6023
0.2500 0.5000 0.8255
0.7500 0.5000 0.1745
0.2500 0.0000 0.1865
0.7500 0.0000 0.8135
0.5000 0.5000 0.5000
0.0000 0.5000 0.5000
```

# 7
A plane-wave DFT calculation with PBE-GGA was carried out for a relaxed structure of SmGaFeNi.

Output
- distance to the lowest polymorph of the same formula (eV/atom) = 0.000
- space group = Pmma (51)

```
SmGaFeNi
1.0
-2.2290 -4.4317 -0.0887
1.5468 -0.7050 -3.6474
5.5295 -2.8391 2.8938
Sm Ga Ni Fe
2 2 2 2
Direct
0.2500 0.0000 0.3090
0.7500 0.0000 0.6910
0.2500 0.5000 0.6686
0.7500 0.5000 0.3314
0.2500 0.0000 0.8862
0.7500 0.0000 0.1138
0.5000 0.5000 0.0000
0.0000 0.5000 0.0000
```

# 8
A plane-wave DFT calculation with PBE-GGA was carried out for a relaxed structure of TaGaFeNi.

Output
- distance to the lowest polymorph of the same formula (eV/atom) = 0.000
- space group = F-43m (216)

```
TaGaFeNi
1.0
0.0000 2.9880 2.9880
2.9880 0.0000 2.9880
2.9880 2.9880 0.0000
Fe Ga Ni Ta
1 1 1 1
Direct
0.7500 0.7500 0.7500
0.0000 0.0000 0.0000
0.2500 0.2500 0.2500
0.5000 0.5000 0.5000
```

Copy entry 4 word for word.
A plane-wave DFT calculation with PBE-GGA was carried out for a relaxed structure of ScGaFeNi.

Output
- distance to the lowest polymorph of the same formula (eV/atom) = 0.000
- space group = F-43m (216)

```
ScGaFeNi
1.0
0.0000 2.9978 2.9978
2.9978 0.0000 2.9978
2.9978 2.9978 0.0000
Ni Sc Ga Fe
1 1 1 1
Direct
0.2500 0.2500 0.2500
0.5000 0.5000 0.5000
0.0000 0.0000 0.0000
0.7500 0.7500 0.7500
```